No. 1
RbCo2Se2, optimized geometry, DFT PBE-GGA; uncorrected energy = -4.801 eV/atom; energy relative to the elements, uncorrected = -0.3718 eV per atom; polymorph energy (0 for the lowest one) = 0.1029 eV per atom; space-group type = P4/mmm; Fermi-level density of states = 5.1 states/eV/cell
1.0
-0.928 -3.614 0.459
3.284 -0.625 1.720
-3.139 1.644 6.591
Se Co Rb
2 2 1
Direct
0.500 0.500 0.703
0.500 0.500 0.297
0.000 0.500 0.500
0.500 0.000 0.500
0.000 0.000 0.000

=====

No. 2
La2AsP, optimized geometry, DFT PBE-GGA; uncorrected energy = -6.546 eV/atom; polymorph energy (0 for the lowest one) = 0.0063 eV per atom; ΔH_f (0 K) = -1.567 eV per atom; space-group type = P4/mmm; Fermi-level density of states = 0.8 states/eV/cell
1.0
6.121 0.000 0.000
0.000 4.329 -0.001
0.000 0.001 4.331
P As La
1 1 2
Direct
0.000 0.375 0.375
0.500 0.875 0.875
0.000 0.875 0.875
0.500 0.375 0.375

=====

No. 3
Nd2TmSn, optimized geometry, DFT PBE-GGA; uncorrected energy = -4.926 eV/atom; polymorph energy (0 for the lowest one) = 0.0000 eV per atom; ΔH_f (0 K) = -0.424 eV per atom; space-group type = P4/mmm; Fermi-level density of states = 4.0 states/eV/cell
1.0
-0.781 4.833 0.707
-4.376 -0.983 1.885
1.982 -0.328 4.431
Sn Tm Nd
1 1 2
Direct
0.500 0.000 0.000
0.500 0.500 0.500
0.000 0.500 0.000
0.000 0.000 0.500

=====

No. 4
Mn5SiC, optimized geometry, DFT PBE-GGA; uncorrected energy = -8.813 eV/atom; energy relative to the elements, uncorrected = -0.1712 eV per atom; space-group type = Cmcm; Fermi-level density of states = 31.2 states/eV/cell
1.0
3.898 -5.038 0.000
3.898 5.038 0.000
0.000 0.000 7.496
Mn C Si
20 4 4
Direct
0.875 0.125 0.500
0.703 0.937 0.750
0.864 0.864 0.250
0.136 0.136 0.750
0.464 0.464 0.250
0.818 0.514 0.437
0.514 0.818 0.063
0.297 0.063 0.250
0.063 0.297 0.250
0.875 0.125 0.000
0.182 0.486 0.563
0.818 0.514 0.063
0.486 0.182 0.937
0.937 0.703 0.750
0.125 0.875 0.500
0.514 0.818 0.437
0.536 0.536 0.750
0.182 0.486 0.937
0.125 0.875 0.000
0.486 0.182 0.563
0.803 0.803 0.967
0.197 0.197 0.467
0.197 0.197 0.033
0.803 0.803 0.533
0.667 0.175 0.250
0.333 0.825 0.750
0.175 0.667 0.250
0.825 0.333 0.750

=====

No. 5
Fe3IrS, optimized geometry, DFT PBE-GGA; uncorrected energy = -6.414 eV/atom; energy relative to the elements, uncorrected = 1.2609 eV per atom; polymorph energy (0 for the lowest one) = 0.6333 eV per atom; space-group type = Pm-3m; Fermi-level density of states = 6.5 states/eV/cell
1.0
4.679 0.000 0.000
0.000 4.679 0.000
0.000 0.000 4.679
Fe Ir S
3 1 1
Direct
0.500 0.000 0.000
0.000 0.500 0.000
0.000 0.000 0.500
0.000 0.000 0.000
0.500 0.500 0.500

=====

No. 6
EuYCdGa, optimized geometry, DFT PBE-GGA; uncorrected energy = -5.582 eV/atom; ΔH_f (0 K) = -0.412 eV per atom; space-group type = F-43m; Fermi-level density of states = 7.1 states/eV/cell
1.0
-2.527 3.011 3.560
-4.364 2.666 -1.403
-4.735 -1.499 1.858
Cd Y Ga Eu
1 1 1 1
Direct
0.750 0.750 0.750
0.000 0.000 0.000
0.250 0.250 0.250
0.500 0.500 0.500

=====

Which formula does entry 2 have?
La2AsP